Entry 1:
Compound: LiMg2Pb
Source: the Alexandria database
Functional: PBE
Structure: relaxed

Values from the calculation:
As for the space group: I-42d, No. 122. The calculation puts the volume at 24.81 A^3/atom. For the density of states at the Fermi level, the calculation gives 3.89 states/eV/cell. Its raw total energy is -2.140 eV/atom.

Geometry as POSCAR:
```
LiMg2Pb
1.0
-3.858 1.679 0.982
-1.139 -3.718 1.883
1.383 2.481 10.692
Pb Mg Li
2 4 2
Direct
0.000 0.000 0.000
0.750 0.250 0.500
0.618 0.125 0.250
0.132 0.625 0.250
0.375 0.382 0.750
0.875 0.868 0.750
0.500 0.500 0.000
0.250 0.750 0.500
```


Entry 2:
Compound: Ba2PPb
Source: the Alexandria database
Functional: PBE
Structure: relaxed

Values from the calculation:
As for the space group: Cmm2, No. 35. The calculation puts the volume at 38.55 A^3/atom. For the density of states at the Fermi level, the calculation gives 2.92 states/eV/cell. Its raw total energy is -3.464 eV/atom.

Geometry as POSCAR:
```
Ba2PPb
1.0
4.012 0.016 0.000
-0.717 3.947 0.000
0.000 0.000 9.730
Ba P Pb
2 1 1
Direct
0.000 0.000 0.934
0.500 0.500 0.339
0.000 0.000 0.544
0.500 0.500 0.683
```


Entry 3:
Compound: Er7Tm3Cd
Source: the Alexandria database
Functional: PBE
Structure: relaxed

Values from the calculation:
As for the space group: P3m1, No. 156. The calculation puts the volume at 31.27 A^3/atom. For the density of states at the Fermi level, the calculation gives 14.38 states/eV/cell. Its raw total energy is -4.035 eV/atom.

Geometry as POSCAR:
```
Er7Tm3Cd
1.0
-7.356 4.070 -0.488
-2.450 -3.811 5.161
3.194 5.933 1.328
Er Tm Cd
7 3 1
Direct
0.120 0.167 0.833
0.120 0.167 0.335
0.114 0.667 0.333
0.446 0.830 0.170
0.446 0.340 0.170
0.446 0.830 0.660
0.120 0.665 0.833
0.785 0.502 0.498
0.785 0.502 0.003
0.785 0.997 0.498
0.448 0.333 0.667
```


Entry 4:
Compound: MoBr3
Source: the Alexandria database
Functional: PBE
Structure: relaxed

Values from the calculation:
As for the space group: P-6m2, No. 187. The energy relative to the elements, uncorrected comes out at 0.141 eV/atom. The calculation puts the volume at 23.44 A^3/atom. For the density of states at the Fermi level, the calculation gives 5.04 states/eV/cell.

Geometry as POSCAR:
```
MoBr3
1.0
3.300 0.000 0.000
-1.650 2.858 0.000
0.000 0.000 9.944
Mo Br
1 3
Direct
0.667 0.333 0.750
0.000 0.000 0.937
0.000 0.000 0.563
0.667 0.333 0.250
```